Record 1
First-principles (PBE) data for a relaxed structure of RbZnCd2Se, as listed in the Alexandria database.

Properties
Raw total energy = -1.38 eV per atom
Crystal system = tetragonal

Cell lengths 6.696, 6.696, 4.831 Å; angles 90.00, 90.00, 90.00 degrees
Space group P4/mmm (No. 123)
One atom of each set of equivalent atoms:
1 Rb 0.000 0.000 0.000 x1
2 Zn 0.500 0.500 0.000 x1
3 Cd 0.000 0.500 0.500 x2
4 Se 0.500 0.500 0.500 x1


Record 2
First-principles (PBE) data for a relaxed structure of RbCdSi, as listed in the Alexandria database.

Properties
Raw total energy = -2.32 eV per atom
Energy above the most stable polymorph in this dataset = 99 meV per atom
Crystal system = triclinic

Cell lengths 4.508, 4.768, 12.280 Å; angles 86.35, 80.20, 61.81 degrees
Space group P1 (No. 1)
One atom of each set of equivalent atoms:
1 Rb 0.000 0.000 0.000 x1
2 Rb 0.459 0.655 0.379 x1
3 Cd 0.429 0.332 0.794 x1
4 Cd 0.683 0.021 0.580 x1
5 Si 0.763 0.669 0.791 x1
6 Si 0.979 0.403 0.609 x1


Record 3
First-principles (PBE) data for a relaxed structure of Rb3CdSi, as listed in the Alexandria database.

Properties
Raw total energy = -1.49 eV per atom
Energy above the most stable polymorph in this dataset = 0 meV per atom
Crystal system = cubic

Cell lengths 6.841, 6.841, 6.841 Å; angles 90.00, 90.00, 90.00 degrees
Space group Pm-3m (No. 221)
One atom of each set of equivalent atoms:
1 Rb 0.000 0.000 0.500 x3
2 Cd 0.500 0.500 0.500 x1
3 Si 0.000 0.000 0.000 x1


Record 4
First-principles (PBE) data for a relaxed structure of RbCdSi, as listed in the Alexandria database.

Properties
Raw total energy = -2.42 eV per atom
Energy above the most stable polymorph in this dataset = 0 meV per atom
Crystal system = orthorhombic

Cell lengths 3.973, 5.841, 8.507 Å; angles 90.00, 90.00, 90.00 degrees
Space group Pmma (No. 51)
One atom of each set of equivalent atoms:
1 Rb 0.250 0.000 0.228 x2
2 Cd 0.250 0.500 0.618 x2
3 Si 0.250 0.500 0.927 x2


Record 5
First-principles (PBE) data for a relaxed structure of Rb2Cd2Si, as listed in the Alexandria database.

Properties
Raw total energy = -1.51 eV per atom
Energy above the most stable polymorph in this dataset = 170 meV per atom
Crystal system = tetragonal

Cell lengths 4.129, 4.129, 22.785 Å; angles 90.00, 90.00, 90.00 degrees
Space group I4/mmm (No. 139)
One atom of each set of equivalent atoms:
1 Rb 0.000 0.000 0.094 x4
2 Cd 0.000 0.500 0.250 x4
3 Si 0.000 0.000 0.500 x2


Record 6
First-principles (PBE) data for a relaxed structure of Rb2Cd2Si, as listed in the Alexandria database.

Properties
Raw total energy = -1.68 eV per atom
Energy above the most stable polymorph in this dataset = 0 meV per atom
Crystal system = tetragonal

Cell lengths 7.457, 7.457, 5.996 Å; angles 90.00, 90.00, 90.00 degrees
Space group P4/mbm (No. 127)
One atom of each set of equivalent atoms:
1 Rb 0.181 0.319 0.000 x4
2 Cd 0.145 0.645 0.500 x4
3 Si 0.000 0.000 0.500 x2


Record 7
First-principles (PBE) data for a relaxed structure of Rb2CdSi, as listed in the Alexandria database.

Properties
Raw total energy = -1.65 eV per atom
Crystal system = cubic

Cell lengths 8.702, 8.702, 8.702 Å; angles 90.00, 90.00, 90.00 degrees
Space group Fm-3m (No. 225)
One atom of each set of equivalent atoms:
1 Rb 0.250 0.250 0.250 x8
2 Cd 0.000 0.000 0.000 x4
3 Si 0.000 0.000 0.500 x4


Record 8
First-principles (PBE) data for a relaxed structure of RbCdSi, as listed in the Alexandria database.

Properties
Raw total energy = -2.36 eV per atom
Energy above the most stable polymorph in this dataset = 58 meV per atom
Crystal system = orthorhombic

Cell lengths 4.592, 7.865, 11.296 Å; angles 90.00, 90.00, 90.00 degrees
Space group Immm (No. 71)
One atom of each set of equivalent atoms:
1 Rb 0.000 0.000 0.242 x4
2 Cd 0.000 0.313 0.500 x4
3 Si 0.000 0.355 0.000 x4


Record 9
First-principles (PBE) data for a relaxed structure of RbCdSi, as listed in the Alexandria database.

Properties
Raw total energy = -2.27 eV per atom
Energy above the most stable polymorph in this dataset = 147 meV per atom
Crystal system = hexagonal

Cell lengths 4.5480, 4.5480, 5.6891 Å; angles 90.00, 90.00, 120.00 degrees
Space group P-6m2 (No. 187)
One atom of each set of equivalent atoms:
1 Rb 0.0000 0.0000 0.0000 x1
2 Cd 0.6667 0.3333 0.5000 x1
3 Si 0.3333 0.6667 0.5000 x1


Record 10
First-principles (PBE) data for a relaxed structure of Rb2Cd2Si, as listed in the Alexandria database.

Properties
Raw total energy = -1.17 eV per atom
Energy above the most stable polymorph in this dataset = 512 meV per atom
Crystal system = tetragonal

Cell lengths 5.387, 5.387, 14.302 Å; angles 90.00, 90.00, 90.00 degrees
Space group I4/mmm (No. 139)
One atom of each set of equivalent atoms:
1 Rb 0.000 0.500 0.250 x4
2 Cd 0.000 0.000 0.095 x4
3 Si 0.000 0.000 0.500 x2


Record 11
First-principles (PBE) data for a relaxed structure of RbCdSi, as listed in the Alexandria database.

Properties
Raw total energy = -2.36 eV per atom
Energy above the most stable polymorph in this dataset = 60 meV per atom
Crystal system = triclinic

Cell lengths 3.854, 6.876, 7.525 Å; angles 83.38, 75.20, 89.81 degrees
Space group P-1 (No. 2)
One atom of each set of equivalent atoms:
1 Rb 0.122 0.384 0.252 x2
2 Cd 0.418 0.103 0.665 x2
3 Si 0.233 0.892 0.035 x2


Record 12
First-principles (PBE) data for a relaxed structure of RbCdSi, as listed in the Alexandria database.

Properties
Raw total energy = -2.31 eV per atom
Energy above the most stable polymorph in this dataset = 107 meV per atom
Crystal system = monoclinic

Cell lengths 5.584, 3.890, 8.814 Å; angles 90.00, 105.44, 90.00 degrees
Space group Pm (No. 6)
One atom of each set of equivalent atoms:
1 Rb 0.000 0.000 0.000 x1
2 Rb 0.389 0.000 0.723 x1
3 Cd 0.225 0.500 0.367 x1
4 Cd 0.577 0.500 0.172 x1
5 Si 0.766 0.500 0.541 x1
6 Si 0.858 0.000 0.401 x1